## CeSm8Tm2 (PBE)

Data for a relaxed structure of CeSm8Tm2.

Calculated values
The distance to the lowest polymorph of the same formula is 0.052 eV per atom. The raw total energy is -101.43 eV for the cell shown. The formation enthalpy at 0 K comes out at 0.174 eV/atom. The calculation puts the mass density at 7354 kg/m3.

Cell: 19.298 6.994 5.633 Å, 90.00 93.05 90.00°
Space group C2/m (No. 12)
Symmetry-distinct sites (fractional):
Ce: 0.000 0.000 0.000 (multiplicity 2)
Sm: 0.045 0.500 0.238 (multiplicity 4)
Sm: 0.133 0.268 0.734 (multiplicity 8)
Sm: 0.188 0.000 0.232 (multiplicity 4)
Tm: 0.216 0.500 0.253 (multiplicity 4)